A:
A plane-wave DFT calculation with GGA-PBE was carried out for a relaxed structure of Tb3Sm5Ho4.

Properties
DOS at the Fermi energy	1.6359	states/eV/atom
ρ	7.89	g/cm3
symmetry	C2/m
magnetization	0.05	μB per formula unit

a b c (Å): 5.9045 8.6155 9.6624
angles (deg): 106.18 72.21 69.96
Fractional coordinates of all 12 atoms:
1 Tb 0.5202 0.6878 0.2717
2 Tb 0.0000 0.5000 0.5000
3 Tb 0.4798 0.3122 0.7283
4 Sm 0.6243 0.9519 0.7996
5 Sm 0.5000 0.5000 0.5000
6 Sm 0.2125 0.4615 0.1136
7 Sm 0.7875 0.5385 0.8864
8 Sm 0.3757 0.0481 0.2004
9 Ho 0.8589 0.2219 0.0603
10 Ho 0.1639 0.0504 0.6218
11 Ho 0.8361 0.9496 0.3782
12 Ho 0.1411 0.7781 0.9397


B:
A plane-wave DFT calculation with GGA-PBE was carried out for a relaxed structure of Tb3Sm5Ho4.

Properties
DOS at the Fermi energy	1.2499	states/eV/atom
ρ	8.09	g/cm3
symmetry	P-1
magnetization	0.00	μB per formula unit

a b c (Å): 7.1520 11.3100 12.8912
angles (deg): 151.30 56.30 129.31
Fractional coordinates of all 12 atoms:
1 Tb 0.5859 0.1683 0.3337
2 Tb 0.0000 0.0000 0.5000
3 Tb 0.4141 0.8317 0.6663
4 Sm 0.3348 0.6671 0.8324
5 Sm 0.5000 0.0000 0.5000
6 Sm 0.7490 0.5005 0.0004
7 Sm 0.2510 0.4995 0.9996
8 Sm 0.6652 0.3329 0.1676
9 Ho 0.9166 0.8317 0.6665
10 Ho 0.8353 0.6693 0.8340
11 Ho 0.1647 0.3307 0.1660
12 Ho 0.0834 0.1683 0.3335


How do the energies compare? Relative to the most stable structure, in meV per atom: A 214; B 0.


A:
A plane-wave DFT calculation with GGA-PBE was carried out for a relaxed structure of TbSm7Ho12.

Properties
DOS at the Fermi energy	0.9700	states/eV/atom
ρ	8.15	g/cm3
symmetry	R-3
magnetization	0.00	μB per formula unit

a b c (Å): 8.6951 8.6951 8.6951
angles (deg): 94.68 94.68 94.68
Fractional coordinates of all 20 atoms:
1 Tb 0.0000 0.0000 0.0000
2 Sm 0.9040 0.6410 0.9711
3 Sm 0.3590 0.0289 0.0960
4 Sm 0.0289 0.0960 0.3590
5 Sm 0.5000 0.5000 0.5000
6 Sm 0.9711 0.9040 0.6410
7 Sm 0.6410 0.9711 0.9040
8 Sm 0.0960 0.3590 0.0289
9 Ho 0.8306 0.2535 0.6925
10 Ho 0.7465 0.3075 0.1694
11 Ho 0.5036 0.1558 0.4276
12 Ho 0.8442 0.5724 0.4964
13 Ho 0.3075 0.1694 0.7465
14 Ho 0.5724 0.4964 0.8442
15 Ho 0.4276 0.5036 0.1558
16 Ho 0.6925 0.8306 0.2535
17 Ho 0.1558 0.4276 0.5036
18 Ho 0.4964 0.8442 0.5724
19 Ho 0.2535 0.6925 0.8306
20 Ho 0.1694 0.7465 0.3075


B:
A plane-wave DFT calculation with GGA-PBE was carried out for a relaxed structure of TbSm7Ho12.

Properties
DOS at the Fermi energy	1.2990	states/eV/atom
ρ	7.45	g/cm3
symmetry	Im-3m
magnetization	0.00	μB per formula unit

a b c (Å): 9.7374 9.7374 9.7374
angles (deg): 109.47 109.47 109.47
Fractional coordinates of all 20 atoms:
1 Tb 0.0000 0.0000 0.0000
2 Sm 0.5000 0.5000 0.0000
3 Sm 0.0000 0.5000 0.5000
4 Sm 0.5000 0.0000 0.5000
5 Sm 0.5000 0.5000 0.5000
6 Sm 0.0000 0.0000 0.5000
7 Sm 0.5000 0.0000 0.0000
8 Sm 0.0000 0.5000 0.0000
9 Ho 0.5039 0.7519 0.7520
10 Ho 0.9999 0.7519 0.2480
11 Ho 0.4961 0.2481 0.2480
12 Ho 0.0001 0.2481 0.7520
13 Ho 0.7520 0.0001 0.2481
14 Ho 0.7520 0.5039 0.7519
15 Ho 0.2480 0.9999 0.7519
16 Ho 0.2480 0.4961 0.2481
17 Ho 0.7519 0.7520 0.5039
18 Ho 0.2481 0.2480 0.4961
19 Ho 0.7519 0.2480 0.9999
20 Ho 0.2481 0.7520 0.0001


How do the energies compare? Relative to the most stable structure, in meV per atom: A 0; B 381.


A:
A plane-wave DFT calculation with GGA-PBE was carried out for a relaxed structure of TbSm5Ho2.

Properties
DOS at the Fermi energy	1.4134	states/eV/atom
ρ	7.85	g/cm3
symmetry	Pbam
magnetization	0.00	μB per formula unit

a b c (Å): 5.0762 7.1905 14.3812
angles (deg): 90.00 90.00 90.00
Fractional coordinates of all 16 atoms:
1 Tb 0.0000 0.0000 0.5000
2 Tb 0.0000 0.5000 0.0000
3 Sm 0.0000 0.0000 0.0000
4 Sm 0.0000 0.5000 0.5000
5 Sm 0.0000 0.4998 0.7505
6 Sm 0.0000 0.5002 0.2495
7 Sm 0.0000 0.0001 0.2505
8 Sm 0.0000 0.9998 0.7495
9 Sm 0.5000 0.2503 0.8754
10 Sm 0.5000 0.7497 0.1246
11 Sm 0.5000 0.2497 0.3754
12 Sm 0.5000 0.7503 0.6246
13 Ho 0.5000 0.2496 0.6245
14 Ho 0.5000 0.7504 0.3755
15 Ho 0.5000 0.2504 0.1245
16 Ho 0.5000 0.7496 0.8755


B:
A plane-wave DFT calculation with GGA-PBE was carried out for a relaxed structure of TbSm5Ho2.

Properties
DOS at the Fermi energy	1.6316	states/eV/atom
ρ	7.62	g/cm3
symmetry	P2_1/m
magnetization	0.00	μB per formula unit

a b c (Å): 8.9001 8.5848 11.3531
angles (deg): 90.00 90.00 38.59
Fractional coordinates of all 16 atoms:
1 Tb 0.4980 0.8504 0.7500
2 Tb 0.5020 0.1496 0.2500
3 Sm 0.6626 0.0459 0.9236
4 Sm 0.6626 0.0459 0.5764
5 Sm 0.1958 0.6817 0.4204
6 Sm 0.1958 0.6817 0.0796
7 Sm 0.7645 0.3151 0.2500
8 Sm 0.2355 0.6849 0.7500
9 Sm 0.8042 0.3183 0.5796
10 Sm 0.8042 0.3183 0.9204
11 Sm 0.3374 0.9541 0.0764
12 Sm 0.3374 0.9541 0.4236
13 Ho 0.8916 0.5730 0.3822
14 Ho 0.8916 0.5730 0.1178
15 Ho 0.1084 0.4270 0.6178
16 Ho 0.1084 0.4270 0.8822


How do the energies compare? Relative to the most stable structure, in meV per atom: A 0; B 152.